VASP calculation (PBE-GGA) on crystalline GdLuGa at its relaxed geometry.

Output
E_form: -0.26 eV/atom
ρ: 7.8 Mg/m³
relative energy among the computed polymorphs: 0.114 eV/atom
symmetry: F-43m
calculated volume: 85.18 Å³/cell

```
GdLuGa
1.0
4.9387 0.0000 0.0000
2.4693 4.2770 0.0000
2.4693 1.4257 4.0324
Gd Lu Ga
1 1 1
direct
0.0000 0.0000 0.0000
0.5000 0.5000 0.5000
0.2500 0.2500 0.2500
```

---

VASP calculation (PBE-GGA) on crystalline GdLuGa at its relaxed geometry.

Output
E_form: -0.28 eV/atom
ρ: 8.6 Mg/m³
relative energy among the computed polymorphs: 0.096 eV/atom
symmetry: P3m1
calculated volume: 77.55 Å³/cell

```
GdLuGa
1.0
3.6680 0.0000 0.0000
0.0000 4.9410 0.0000
0.0000 -2.4705 4.2790
Gd Lu Ga
1 1 1
direct
0.6311 0.6667 0.3333
0.1016 0.0000 0.0000
0.2673 0.3333 0.6667
```

---

VASP calculation (PBE-GGA) on crystalline GdLuGa2 at its relaxed geometry.

Output
E_form: -0.40 eV/atom
ρ: 8.0 Mg/m³
relative energy among the computed polymorphs: 0.175 eV/atom
symmetry: R-3m
calculated volume: 98.47 Å³/cell

```
GdLuGa2
1.0
3.6046 0.0000 0.0000
1.8023 3.1217 0.0000
1.8023 1.0406 8.7510
Gd Lu Ga
1 1 2
direct
0.5000 0.5000 0.5000
0.0000 0.0000 0.0000
0.7479 0.7479 0.7563
0.2521 0.2521 0.2437
```

---

VASP calculation (PBE-GGA) on crystalline GdLuGa at its relaxed geometry.

Output
E_form: -0.37 eV/atom
ρ: 8.6 Mg/m³
relative energy among the computed polymorphs: 0.000 eV/atom
symmetry: I4mm
calculated volume: 77.33 Å³/cell

```
GdLuGa
1.0
-1.3619 -0.9529 -3.0525
2.5412 -2.3365 -0.4045
-4.1644 -2.7574 4.6977
Gd Lu Ga
1 1 1
direct
0.0188 0.0188 0.0376
0.3104 0.3104 0.6207
0.6709 0.6709 0.3417
```

---

VASP calculation (PBE-GGA) on crystalline GdLuGaNi at its relaxed geometry.

Output
E_form: -0.45 eV/atom
ρ: 9.2 Mg/m³
symmetry: F-43m
calculated volume: 83.40 Å³/cell

```
GdLuGaNi
1.0
-3.0497 -3.3869 -1.8106
-1.3521 -3.8140 2.7705
-4.5988 -0.3053 1.6757
Gd Ni Lu Ga
1 1 1 1
direct
0.2500 0.2500 0.2500
0.5000 0.5000 0.5000
0.7500 0.7500 0.7500
0.0000 0.0000 0.0000
```

---

VASP calculation (PBE-GGA) on crystalline GdLuGaPb at its relaxed geometry.

Output
E_form: -0.41 eV/atom
ρ: 9.9 Mg/m³
symmetry: F-43m
calculated volume: 102.67 Å³/cell

```
GdLuGaPb
1.0
5.2560 0.0000 0.0000
2.6280 4.5519 0.0000
2.6280 1.5173 4.2915
Pb Gd Lu Ga
1 1 1 1
direct
0.2500 0.2500 0.2500
0.0000 0.0000 0.0000
0.5000 0.5000 0.5000
0.7500 0.7500 0.7500
```

---

- Which formula does entry 5 have?
  GdLuGaNi

---

- Among the records above, which one has the highest E_form?
  number 1